#w
The following is a PBE-GGA calculation of a geometry-optimized Co2SiSn structure, from Alexandria via LeMat-Bulk.

Values from the calculation:
Total magnetization: 1.33 μB/f.u.
D(E_F): 4.12 states/eV per cell

Unit cell a=4.2263 b=4.2263 c=4.2263 alpha=60.00 beta=60.00 gamma=60.00
Sites, in units of the cell vectors:
1 Co 0.2500 0.2500 0.2500
2 Co 0.7500 0.7500 0.7500
3 Si 0.0000 0.0000 0.0000
4 Sn 0.5000 0.5000 0.5000



#x
The following is a PBE-GGA calculation of a geometry-optimized Co2SiSn structure, from Alexandria via LeMat-Bulk.

Values from the calculation:
Total magnetization: 0.00 μB/f.u.
D(E_F): 6.13 states/eV per cell

Unit cell a=6.5674 b=6.5674 c=6.5674 alpha=131.47 beta=131.47 gamma=71.06
Sites, in units of the cell vectors:
1 Co 0.0731 0.6250 0.9481
2 Co 0.3750 0.3231 0.4481
3 Co 0.6769 0.1250 0.0519
4 Co 0.8750 0.9269 0.5519
5 Si 0.0000 0.0000 0.0000
6 Si 0.7500 0.2500 0.5000
7 Sn 0.2500 0.7500 0.5000
8 Sn 0.5000 0.5000 0.0000



Short version: #w, #x, most stable first.



#w
The following is a PBE-GGA calculation of a geometry-optimized Co2Si2Tc structure, from Alexandria via LeMat-Bulk.

Values from the calculation:
Total magnetization: 0.00 μB/f.u.
D(E_F): 4.21 states/eV per cell

Unit cell a=6.7136 b=6.7136 c=2.5785 alpha=90.00 beta=90.00 gamma=90.00
Sites, in units of the cell vectors:
1 Co 0.1467 0.3533 0.0000
2 Co 0.3533 0.8533 0.0000
3 Co 0.6467 0.1467 0.0000
4 Co 0.8533 0.6467 0.0000
5 Si 0.1494 0.6494 0.5000
6 Si 0.3505 0.1494 0.5000
7 Si 0.6494 0.8506 0.5000
8 Si 0.8506 0.3505 0.5000
9 Tc 0.0000 0.0000 0.5000
10 Tc 0.5000 0.5000 0.5000



#x
The following is a PBE-GGA calculation of a geometry-optimized Co2Si2Tc structure, from Alexandria via LeMat-Bulk.

Values from the calculation:
Total magnetization: 0.00 μB/f.u.
D(E_F): 6.06 states/eV per cell

Unit cell a=6.7976 b=6.7976 c=2.5341 alpha=90.00 beta=90.00 gamma=90.00
Sites, in units of the cell vectors:
1 Co 0.1298 0.3702 0.0000
2 Co 0.3702 0.8702 0.0000
3 Co 0.6298 0.1298 0.0000
4 Co 0.8702 0.6298 0.0000
5 Si 0.1669 0.6669 0.5000
6 Si 0.3331 0.1669 0.5000
7 Si 0.6669 0.8331 0.5000
8 Si 0.8331 0.3331 0.5000
9 Tc 0.0000 0.0000 0.0000
10 Tc 0.5000 0.5000 0.0000



Short version: #w, #x, most stable first.



#w
The following is a PBE-GGA calculation of a geometry-optimized CoSiTe structure, from Alexandria via LeMat-Bulk.

Values from the calculation:
Total magnetization: 0.00 μB/f.u.
D(E_F): 1.77 states/eV per cell

Unit cell a=4.2140 b=4.2140 c=4.2140 alpha=60.00 beta=60.00 gamma=60.00
Sites, in units of the cell vectors:
1 Co 0.0000 0.0000 0.0000
2 Si 0.2500 0.2500 0.2500
3 Te 0.7500 0.7500 0.7500



#x
The following is a PBE-GGA calculation of a geometry-optimized CoSiTe structure, from Alexandria via LeMat-Bulk.

Values from the calculation:
Total magnetization: 0.29 μB/f.u.
D(E_F): 1.66 states/eV per cell

Unit cell a=6.5828 b=6.5828 c=6.5828 alpha=153.73 beta=153.73 gamma=37.49
Sites, in units of the cell vectors:
1 Co 0.0000 0.0000 0.0000
2 Si 0.4301 0.4301 0.0000
3 Te 0.2094 0.2094 0.0000



Short version: #x, #w, most stable first.



#w
The following is a PBE-GGA calculation of a geometry-optimized CoSiTe structure, from Alexandria via LeMat-Bulk.

Values from the calculation:
Total magnetization: 0.00 μB/f.u.
D(E_F): 7.54 states/eV per cell

Unit cell a=6.7781 b=6.2495 c=7.5571 alpha=57.88 beta=51.34 gamma=70.78
Sites, in units of the cell vectors:
1 Co 0.2005 0.7995 0.3114
2 Co 0.5614 0.9386 0.4505
3 Co 0.7995 0.2005 0.6886
4 Co 0.9386 0.5614 0.0495
5 Si 0.1275 0.9179 0.6007
6 Si 0.6493 0.8961 0.1225
7 Si 0.8961 0.6493 0.3321
8 Si 0.9179 0.1275 0.3539
9 Te 0.0211 0.4138 0.7276
10 Te 0.4125 0.5224 0.8362
11 Te 0.4138 0.0211 0.8375
12 Te 0.5224 0.4125 0.2289



#x
The following is a PBE-GGA calculation of a geometry-optimized CoSiTe structure, from Alexandria via LeMat-Bulk.

Values from the calculation:
Total magnetization: 0.00 μB/f.u.
D(E_F): 1.52 states/eV per cell

Unit cell a=3.6580 b=3.6580 c=5.1877 alpha=90.00 beta=90.00 gamma=120.00
Sites, in units of the cell vectors:
1 Co 0.0000 0.0000 0.0000
2 Si 0.3333 0.6667 0.1565
3 Te 0.6667 0.3333 0.7222



Short version: #w, #x, most stable first.



#w
The following is a PBE-GGA calculation of a geometry-optimized Th3Co2Si4 structure, from Alexandria via LeMat-Bulk.

Values from the calculation:
Total magnetization: 0.00 μB/f.u.
D(E_F): 5.84 states/eV per cell

Unit cell a=5.8221 b=5.8221 c=8.0720 alpha=99.21 beta=99.21 gamma=41.10
Sites, in units of the cell vectors:
1 Th 0.0000 0.0000 0.0000
2 Th 0.3359 0.3359 0.3424
3 Th 0.6641 0.6641 0.6576
4 Co 0.3992 0.3992 0.7256
5 Co 0.6008 0.6008 0.2744
6 Si 0.0564 0.0564 0.3814
7 Si 0.2773 0.2773 0.9292
8 Si 0.7227 0.7227 0.0708
9 Si 0.9436 0.9436 0.6186



#x
The following is a PBE-GGA calculation of a geometry-optimized Th3Co2Si4 structure, from Alexandria via LeMat-Bulk.

Values from the calculation:
Total magnetization: 0.00 μB/f.u.
D(E_F): 5.94 states/eV per cell

Unit cell a=5.8610 b=5.8610 c=8.1221 alpha=106.73 beta=106.73 gamma=40.94
Sites, in units of the cell vectors:
1 Th 0.0000 0.0000 0.0000
2 Th 0.3849 0.3849 0.3125
3 Th 0.6151 0.6151 0.6875
4 Co 0.3008 0.3008 0.6343
5 Co 0.6992 0.6992 0.3657
6 Si 0.1114 0.1114 0.3948
7 Si 0.2795 0.2795 0.9235
8 Si 0.7205 0.7205 0.0765
9 Si 0.8886 0.8886 0.6052



Short version: #w, #x, most stable first.



#w
The following is a PBE-GGA calculation of a geometry-optimized Th2CoSi3 structure, from Alexandria via LeMat-Bulk.

Values from the calculation:
Total magnetization: 0.00 μB/f.u.
D(E_F): 4.57 states/eV per cell

Unit cell a=4.0877 b=4.0877 c=8.1757 alpha=90.00 beta=90.00 gamma=120.00
Sites, in units of the cell vectors:
1 Th 0.0000 0.0000 0.2403
2 Th 0.0000 0.0000 0.7597
3 Co 0.6667 0.3333 0.0000
4 Si 0.3333 0.6667 0.0000
5 Si 0.3333 0.6667 0.5000
6 Si 0.6667 0.3333 0.5000



#x
The following is a PBE-GGA calculation of a geometry-optimized Th2CoSi3 structure, from Alexandria via LeMat-Bulk.

Values from the calculation:
Total magnetization: 0.00 μB/f.u.
D(E_F): 3.68 states/eV per cell

Unit cell a=4.1022 b=4.1426 c=6.9819 alpha=90.00 beta=90.00 gamma=90.00
Sites, in units of the cell vectors:
1 Th 0.0000 0.0000 0.0000
2 Th 0.5000 0.0000 0.4867
3 Co 0.5000 0.5000 0.1659
4 Si 0.0000 0.5000 0.3162
5 Si 0.0000 0.5000 0.6603
6 Si 0.5000 0.5000 0.8430



#y
The following is a PBE-GGA calculation of a geometry-optimized Th2CoSi3 structure, from Alexandria via LeMat-Bulk.

Values from the calculation:
Total magnetization: 0.00 μB/f.u.
D(E_F): 3.41 states/eV per cell

Unit cell a=7.5719 b=7.5719 c=7.5719 alpha=148.66 beta=148.18 gamma=45.27
Sites, in units of the cell vectors:
1 Th 0.0000 0.0000 0.0000
2 Th 0.7461 0.2461 0.5000
3 Co 0.1596 0.6596 0.5000
4 Si 0.3216 0.8216 0.5000
5 Si 0.4132 0.4132 0.0000
6 Si 0.5849 0.5849 0.0000



Short version: #y, #x, #w, most stable first.



#w
The following is a PBE-GGA calculation of a geometry-optimized Th2Co2Si3 structure, from Alexandria via LeMat-Bulk.

Values from the calculation:
Total magnetization: 0.00 μB/f.u.
D(E_F): 4.76 states/eV per cell

Unit cell a=5.6501 b=5.6501 c=6.8918 alpha=119.11 beta=119.11 gamma=40.29
Sites, in units of the cell vectors:
1 Th 0.1352 0.1352 0.2677
2 Th 0.8648 0.8648 0.7323
3 Co 0.1309 0.1309 0.7155
4 Co 0.8691 0.8691 0.2845
5 Si 0.3501 0.3501 0.0695
6 Si 0.5000 0.5000 0.5000
7 Si 0.6499 0.6499 0.9305



#x
The following is a PBE-GGA calculation of a geometry-optimized Th2Co2Si3 structure, from Alexandria via LeMat-Bulk.

Values from the calculation:
Total magnetization: 0.00 μB/f.u.
D(E_F): 11.17 states/eV per cell

Unit cell a=9.1341 b=9.1341 c=6.6889 alpha=90.00 beta=90.00 gamma=153.33
Sites, in units of the cell vectors:
1 Th 0.0525 0.9475 0.7500
2 Th 0.1627 0.8373 0.2500
3 Th 0.8373 0.1627 0.7500
4 Th 0.9475 0.0525 0.2500
5 Co 0.3066 0.6934 0.0506
6 Co 0.3066 0.6934 0.4494
7 Co 0.6934 0.3066 0.5506
8 Co 0.6934 0.3066 0.9494
9 Si 0.2197 0.7803 0.7500
10 Si 0.4361 0.5639 0.5661
11 Si 0.4361 0.5639 0.9339
12 Si 0.5639 0.4361 0.0661
13 Si 0.5639 0.4361 0.4339
14 Si 0.7803 0.2197 0.2500



Short version: #x, #w, most stable first.



#w
The following is a PBE-GGA calculation of a geometry-optimized Ti3CoSi structure, from Alexandria via LeMat-Bulk.

Values from the calculation:
Total magnetization: 0.00 μB/f.u.
D(E_F): 8.03 states/eV per cell

Unit cell a=4.4263 b=4.4263 c=4.4263 alpha=90.00 beta=90.00 gamma=90.00
Sites, in units of the cell vectors:
1 Ti 0.0000 0.0000 0.5000
2 Ti 0.0000 0.5000 0.0000
3 Ti 0.5000 0.0000 0.0000
4 Co 0.0000 0.0000 0.0000
5 Si 0.5000 0.5000 0.5000



#x
The following is a PBE-GGA calculation of a geometry-optimized Ti3CoSi structure, from Alexandria via LeMat-Bulk.

Values from the calculation:
Total magnetization: 1.43 μB/f.u.
D(E_F): 7.00 states/eV per cell

Unit cell a=4.5655 b=4.5655 c=4.5655 alpha=90.00 beta=90.00 gamma=90.00
Sites, in units of the cell vectors:
1 Ti 0.0000 0.0000 0.5000
2 Ti 0.0000 0.5000 0.0000
3 Ti 0.5000 0.0000 0.0000
4 Co 0.5000 0.5000 0.5000
5 Si 0.0000 0.0000 0.0000



Short version: #w, #x, most stable first.



#w
The following is a PBE-GGA calculation of a geometry-optimized TlCoSi structure, from Alexandria via LeMat-Bulk.

Values from the calculation:
Total magnetization: 0.00 μB/f.u.
D(E_F): 1.37 states/eV per cell

Unit cell a=3.1675 b=3.1675 c=6.0446 alpha=90.00 beta=90.00 gamma=120.00
Sites, in units of the cell vectors:
1 Tl 0.0000 0.0000 0.0000
2 Co 0.6667 0.3333 0.3588
3 Si 0.3333 0.6667 0.5760



#x
The following is a PBE-GGA calculation of a geometry-optimized TlCoSi structure, from Alexandria via LeMat-Bulk.

Values from the calculation:
Total magnetization: 0.00 μB/f.u.
D(E_F): 2.09 states/eV per cell

Unit cell a=3.9015 b=3.9015 c=4.0008 alpha=90.00 beta=90.00 gamma=120.00
Sites, in units of the cell vectors:
1 Tl 0.0000 0.0000 0.0000
2 Co 0.3333 0.6667 0.5000
3 Si 0.6667 0.3333 0.5000



Short version: #w, #x, most stable first.



#w
The following is a PBE-GGA calculation of a geometry-optimized Tl2Co2Si structure, from Alexandria via LeMat-Bulk.

Values from the calculation:
Total magnetization: 3.44 μB/f.u.
D(E_F): 5.28 states/eV per cell

Unit cell a=8.9524 b=8.9524 c=8.9524 alpha=158.49 beta=158.49 gamma=30.61
Sites, in units of the cell vectors:
1 Tl 0.1159 0.1159 0.0000
2 Tl 0.8841 0.8841 0.0000
3 Co 0.2500 0.7500 0.5000
4 Co 0.7500 0.2500 0.5000
5 Si 0.5000 0.5000 0.0000



#x
The following is a PBE-GGA calculation of a geometry-optimized Tl2Co2Si structure, from Alexandria via LeMat-Bulk.

Values from the calculation:
Total magnetization: 2.95 μB/f.u.
D(E_F): 15.17 states/eV per cell

Unit cell a=7.9783 b=7.9783 c=2.9182 alpha=90.00 beta=90.00 gamma=90.00
Sites, in units of the cell vectors:
1 Tl 0.1876 0.3124 0.0000
2 Tl 0.3124 0.8124 0.0000
3 Tl 0.6876 0.1876 0.0000
4 Tl 0.8124 0.6876 0.0000
5 Co 0.1021 0.6021 0.5000
6 Co 0.3979 0.1021 0.5000
7 Co 0.6021 0.8979 0.5000
8 Co 0.8979 0.3979 0.5000
9 Si 0.0000 0.0000 0.0000
10 Si 0.5000 0.5000 0.0000



Short version: #w, #x, most stable first.



#w
The following is a PBE-GGA calculation of a geometry-optimized Tm2CoSi structure, from Alexandria via LeMat-Bulk.

Values from the calculation:
Total magnetization: 0.84 μB/f.u.
D(E_F): 1.80 states/eV per cell

Unit cell a=9.3074 b=9.3074 c=9.3074 alpha=20.52 beta=20.52 gamma=20.52
Sites, in units of the cell vectors:
1 Tm 0.0893 0.0893 0.0893
2 Tm 0.9107 0.9107 0.9107
3 Co 0.0000 0.0000 0.0000
4 Si 0.5000 0.5000 0.5000



#x
The following is a PBE-GGA calculation of a geometry-optimized Tm2CoSi structure, from Alexandria via LeMat-Bulk.

Values from the calculation:
Total magnetization: 0.00 μB/f.u.
D(E_F): 7.90 states/eV per cell

Unit cell a=5.5867 b=3.9590 c=7.7927 alpha=90.00 beta=110.65 gamma=90.00
Sites, in units of the cell vectors:
1 Tm 0.1921 0.2500 0.4118
2 Tm 0.2753 0.7500 0.0587
3 Tm 0.7247 0.2500 0.9413
4 Tm 0.8079 0.7500 0.5882
5 Co 0.1663 0.2500 0.7780
6 Co 0.8337 0.7500 0.2220
7 Si 0.3589 0.7500 0.7111
8 Si 0.6411 0.2500 0.2889



#y
The following is a PBE-GGA calculation of a geometry-optimized Tm2CoSi structure, from Alexandria via LeMat-Bulk.

Values from the calculation:
Total magnetization: 0.00 μB/f.u.
D(E_F): 3.71 states/eV per cell

Unit cell a=3.8508 b=5.5287 c=5.5287 alpha=43.04 beta=90.00 gamma=90.00
Sites, in units of the cell vectors:
1 Tm 0.0000 0.0000 0.0000
2 Tm 0.5000 0.2834 0.2834
3 Co 0.5000 0.5687 0.5687
4 Si 0.0000 0.7035 0.7035



Short version: #y, #x, #w, most stable first.



#w
The following is a PBE-GGA calculation of a geometry-optimized TmCo3Si3 structure, from Alexandria via LeMat-Bulk.

Values from the calculation:
Total magnetization: 0.00 μB/f.u.
D(E_F): 13.81 states/eV per cell

Unit cell a=6.1496 b=6.1496 c=6.1496 alpha=90.00 beta=90.00 gamma=90.00
Sites, in units of the cell vectors:
1 Tm 0.0000 0.0000 0.0000
2 Tm 0.5000 0.5000 0.5000
3 Co 0.0000 0.2500 0.5000
4 Co 0.0000 0.7500 0.5000
5 Co 0.2500 0.5000 0.0000
6 Co 0.5000 0.0000 0.2500
7 Co 0.5000 0.0000 0.7500
8 Co 0.7500 0.5000 0.0000
9 Si 0.0000 0.5000 0.2500
10 Si 0.0000 0.5000 0.7500
11 Si 0.2500 0.0000 0.5000
12 Si 0.5000 0.2500 0.0000
13 Si 0.5000 0.7500 0.0000
14 Si 0.7500 0.0000 0.5000



#x
The following is a PBE-GGA calculation of a geometry-optimized TmCo3Si3 structure, from Alexandria via LeMat-Bulk.

Values from the calculation:
Total magnetization: 0.00 μB/f.u.
D(E_F): 13.41 states/eV per cell

Unit cell a=7.4010 b=7.4010 c=7.4010 alpha=49.52 beta=49.52 gamma=49.52
Sites, in units of the cell vectors:
1 Tm 0.1692 0.1692 0.1692
2 Tm 0.8308 0.8308 0.8308
3 Co 0.0325 0.5800 0.2557
4 Co 0.2557 0.0325 0.5800
5 Co 0.4200 0.7443 0.9675
6 Co 0.5800 0.2557 0.0325
7 Co 0.7443 0.9675 0.4200
8 Co 0.9675 0.4200 0.7443
9 Si 0.1623 0.6811 0.3773
10 Si 0.3189 0.6227 0.8377
11 Si 0.3773 0.1623 0.6811
12 Si 0.6227 0.8377 0.3189
13 Si 0.6811 0.3773 0.1623
14 Si 0.8377 0.3189 0.6227



Short version: #x, #w, most stable first.